Entry 1:
VASP calculation (GGA-PBEsol) on a relaxed Rb2LiYBr6 crystal.

The structure in CIF format:
```
data_Rb2LiYBr6
_chemical_formula_sum 'Rb8 Li4 Y4 Br24'
_symmetry_space_group_name_H-M 'F m -3 m'
_symmetry_Int_Tables_number 225
_symmetry_space_group_name_Hall '-F 4 2 3'
_cell_length_a 10.832
_cell_length_b 10.832
_cell_length_c 10.832
_cell_angle_alpha 90.00
_cell_angle_beta 90.00
_cell_angle_gamma 90.00
loop_
_atom_site_label
_atom_site_type_symbol
_atom_site_fract_x
_atom_site_fract_y
_atom_site_fract_z
_atom_site_occupancy
Rb1 Rb 0.250 0.250 0.250 1
Li1 Li 0.000 0.000 0.000 1
Y1 Y 0.000 0.000 0.500 1
Br1 Br 0.000 0.000 0.246 1
```

Summary:
Density of states at the Fermi level   0.0 states/eV per cell

Entry 2:
VASP calculation (GGA-PBEsol) on a relaxed LiReSe2Br crystal.

The structure in CIF format:
```
data_LiReSe2Br
_chemical_formula_sum 'Li1 Re1 Se2 Br1'
_symmetry_space_group_name_H-M 'P 4/m m m'
_symmetry_Int_Tables_number 123
_symmetry_space_group_name_Hall '-P 4 2'
_cell_length_a 4.745
_cell_length_b 4.745
_cell_length_c 5.585
_cell_angle_alpha 90.00
_cell_angle_beta 90.00
_cell_angle_gamma 90.00
loop_
_atom_site_label
_atom_site_type_symbol
_atom_site_fract_x
_atom_site_fract_y
_atom_site_fract_z
_atom_site_occupancy
Li1 Li 0.000 0.000 0.000 1
Re1 Re 0.500 0.500 0.500 1
Se1 Se 0.000 0.500 0.500 1
Br1 Br 0.500 0.500 0.000 1
```

Summary:
Density of states at the Fermi level   2.2 states/eV per cell

no.,E_form (uncorrected) (eV per atom),total magnetic moment (μB/cell),electronic total energy (eV per atom)
1,-1.78,0.00,-3.985
2,0.01,0.00,-4.965